[1]
A plane-wave DFT calculation with PBE was carried out for a relaxed TaAlIn crystal.

M_tot	1.2	Bohr magnetons per cell
distance to the lowest polymorph of the same formula	830	meV per atom

a b c (Å): 4.5488 4.5488 4.5488
angles (deg): 60.00 60.00 60.00
Closest atoms and distances in Å follow each position.
Fractional positions:
In  0.2500  0.2500  0.2500  4 Al 2.79, 4 Ta 2.79
Ta  0.0000  0.0000  0.0000  4 In 2.79
Al  0.5000  0.5000  0.5000  4 In 2.79

=====

[2]
A plane-wave DFT calculation with PBE was carried out for a relaxed Ta2AlIn crystal.

M_tot	0.0	Bohr magnetons per cell

a b c (Å): 4.7069 4.7069 4.7069
angles (deg): 60.00 60.00 60.00
Closest atoms and distances in Å follow each position.
Fractional positions:
Ta  0.2500  0.2500  0.2500  4 Ta 2.88, 4 Al 2.88
Ta  0.0000  0.0000  0.0000  4 In 2.88, 4 Ta 2.88
Al  0.5000  0.5000  0.5000  4 Ta 2.88, 4 In 2.88
In  0.7500  0.7500  0.7500  4 Ta 2.88, 4 Al 2.88

=====

[3]
A plane-wave DFT calculation with PBE was carried out for a relaxed Ta2AlIn crystal.

M_tot	0.0	Bohr magnetons per cell

a b c (Å): 10.0004 10.0004 10.0004
angles (deg): 17.25 17.25 17.25
Closest atoms and distances in Å follow each position.
Fractional positions:
Ta  0.9983  0.9983  0.9983  9 Ta 3.00-3.05, 3 In 3.08
Ta  0.2465  0.2465  0.2465  3 Al 2.83, 9 Ta 3.00-3.05
Al  0.5041  0.5041  0.5041  3 Ta 2.83, 6 Al 3.00, 3 In 3.08
In  0.7511  0.7511  0.7511  6 In 3.00, 3 Ta 3.08, 3 Al 3.08

=====

[4]
A plane-wave DFT calculation with PBE was carried out for a relaxed TaAlIn4 crystal.

M_tot	0.0	Bohr magnetons per cell

a b c (Å): 5.7512 5.7512 5.7512
angles (deg): 60.00 60.00 60.00
Closest atoms and distances in Å follow each position.
Fractional positions:
In  0.3751  0.3751  0.8748  6 In 2.87-2.88
In  0.3751  0.8748  0.3751  6 In 2.87-2.88
In  0.8748  0.3751  0.3751  6 In 2.87-2.88
In  0.3751  0.3751  0.3751  6 In 2.87-2.88
Ta  0.7500  0.7500  0.7500  12 In 3.37, 4 Al 3.52
Al  0.0000  0.0000  0.0000  12 In 3.37, 4 Ta 3.52

=====

[5]
A plane-wave DFT calculation with PBE was carried out for a relaxed TaAlIn crystal.

M_tot	0.0	Bohr magnetons per cell
distance to the lowest polymorph of the same formula	30	meV per atom

a b c (Å): 7.1295 7.0701 2.9127
angles (deg): 79.31 77.02 23.67
Closest atoms and distances in Å follow each position.
Fractional positions:
In  0.6683  0.6683  0.3317  4 In 2.91, 4 Ta 3.08-3.21, 4 Al 3.13-3.26
Ta  0.3431  0.3431  0.6569  4 Al 2.78-2.93, 4 Ta 2.91, 2 In 3.08
Al  0.9885  0.9885  0.0115  4 Ta 2.78-2.93, 4 Al 2.91

=====

[6]
A plane-wave DFT calculation with PBE was carried out for a relaxed TaAl2In2 crystal.

M_tot	0.0	Bohr magnetons per cell
distance to the lowest polymorph of the same formula	0	meV per atom

a b c (Å): 7.1333 7.1333 3.9320
angles (deg): 90.00 90.00 90.00
Closest atoms and distances in Å follow each position.
Fractional positions:
Al  0.8621  0.6379  0.0000  2 Ta 2.76, 1 Al 2.78, 6 In 2.78-2.94
Al  0.3621  0.8621  0.0000  2 Ta 2.76, 1 Al 2.78, 6 In 2.78-2.94
Al  0.6379  0.1379  0.0000  2 Ta 2.76, 1 Al 2.78, 6 In 2.78-2.94
Al  0.1379  0.3621  0.0000  2 Ta 2.76, 1 Al 2.78, 6 In 2.78-2.94
In  0.3333  0.1667  0.5000  6 Al 2.78-2.94
In  0.8333  0.3333  0.5000  6 Al 2.78-2.94
In  0.6667  0.8333  0.5000  6 Al 2.78-2.94
In  0.1667  0.6667  0.5000  6 Al 2.78-2.94
Ta  0.0000  0.0000  0.0000  4 Al 2.76
Ta  0.5000  0.5000  0.0000  4 Al 2.76

=====

[7]
A plane-wave DFT calculation with PBE was carried out for a relaxed Ta2AlIn crystal.

M_tot	0.0	Bohr magnetons per cell

a b c (Å): 3.5305 3.5305 5.9034
angles (deg): 90.00 90.00 90.00
Closest atoms and distances in Å follow each position.
Fractional positions:
Al  0.5000  0.5000  0.2500  8 Ta 2.83, 2 In 2.95
In  0.5000  0.5000  0.7500  2 Al 2.95, 8 Ta 2.97
Ta  0.0000  0.0000  0.0236  1 Ta 2.67, 4 Al 2.83, 4 In 2.97
Ta  0.0000  0.0000  0.4764  1 Ta 2.67, 4 Al 2.83, 4 In 2.97

=====

[8]
A plane-wave DFT calculation with PBE was carried out for a relaxed TaAl3In crystal.

M_tot	0.0	Bohr magnetons per cell
distance to the lowest polymorph of the same formula	0	meV per atom

a b c (Å): 5.1309 5.1309 5.1309
angles (deg): 90.00 90.00 90.00
Closest atoms and distances in Å follow each position.
Fractional positions:
In  0.5000  0.5000  0.5000  12 Al 3.63
Al  0.5000  0.0000  0.0000  2 Ta 2.57
Al  0.0000  0.5000  0.0000  2 Ta 2.57
Al  0.0000  0.0000  0.5000  2 Ta 2.57
Ta  0.0000  0.0000  0.0000  6 Al 2.57

=====

Number 1: DOS at the Fermi energy 1.3381 states/eV/atom, energy relative to the elements 0.950 eV per atom. Number 2: DOS at the Fermi energy 0.2938 states/eV/atom, energy relative to the elements 0.304 eV per atom. Number 3: DOS at the Fermi energy 1.1767 states/eV/atom, energy relative to the elements 0.191 eV per atom. Number 4: DOS at the Fermi energy 0.3942 states/eV/atom, energy relative to the elements 0.600 eV per atom. Number 5: DOS at the Fermi energy 0.5632 states/eV/atom, energy relative to the elements 0.150 eV per atom. Number 6: DOS at the Fermi energy 0.5076 states/eV/atom, energy relative to the elements 0.311 eV per atom. Number 7: DOS at the Fermi energy 0.8220 states/eV/atom, energy relative to the elements 0.213 eV per atom. Number 8: DOS at the Fermi energy 1.1109 states/eV/atom, energy relative to the elements 0.772 eV per atom.